The following is a PBE calculation of a geometry-optimized ScMo2 structure, from Alexandria.

a = 5.6844 Å, b = 4.6551 Å, c = 8.0377 Å
α = 90.00°, β = 90.00°, γ = 90.00°
With the nearest neighbours (Å) after each atom.
Space group Pnma (No. 62)
Symmetry-distinct sites (fractional):
Sc 0.1623 0.2500 0.0757  8 Mo 2.75-3.07
Mo 0.0310 0.2500 0.7166  3 Mo 2.50-2.77
Mo 0.1511 0.2500 0.4173  3 Mo 2.50-2.77, 2 Sc 2.75-2.78

Calculated density = 7396 kg/m3
Crystal system = orthorhombic
D(E_F) = 11.21 states/eV per cell
Energy of formation = 145 meV per atom